Entry 1:
This record from Alexandria describes a relaxed Dy3TiIn3Te8 crystal. The functional is PBE-GGA.

Results
Space-group type: R-3m, No. 166
Spin magnetization, μB/cell: 0.24
ΔE_f (raw), eV/atom: -0.887
Volume, Å³/atom: 34.33

Unit cell a=8.595 b=8.592 c=9.457 alpha=117.02 beta=90.01 gamma=120.01
Fractional coordinates of all 15 atoms:
Dy: 0.500 0.000 0.500
Dy: 0.500 0.500 0.500
Dy: 0.000 0.500 0.500
Ti: 0.000 0.000 0.500
In: 0.000 0.000 0.000
In: 0.000 0.500 0.000
In: 0.500 0.500 0.000
Te: 0.258 0.517 0.275
Te: 0.742 0.483 0.725
Te: 0.775 0.550 0.289
Te: 0.225 0.450 0.711
Te: 0.775 0.014 0.289
Te: 0.225 0.986 0.711
Te: 0.239 0.014 0.289
Te: 0.761 0.986 0.711

---

Entry 2:
This record from Alexandria describes a relaxed LiGdYIr crystal. The functional is PBE-GGA.

Results
Space-group type: F-43m, No. 216
Spin magnetization, μB/cell: 7.15
VASP energy, eV/cell: -33.45
Volume, Å³/atom: 21.41

Unit cell a=4.948 b=4.948 c=4.948 alpha=60.00 beta=60.00 gamma=60.00
Fractional coordinates of all 4 atoms:
Gd: 0.750 0.750 0.750
Y: 0.250 0.250 0.250
Ir: 0.500 0.500 0.500
Li: 0.000 0.000 0.000

---

Entry 3:
This record from Alexandria describes a relaxed TbGaPb2 crystal. The functional is PBE-GGA.

Results
Space-group type: R-3m, No. 166
Offset from the most stable computed form, meV per atom: 448
Spin magnetization, μB/cell: 0.00
Volume, Å³/atom: 29.79

Unit cell a=3.551 b=3.551 c=11.102 alpha=80.80 beta=80.80 gamma=60.00
Fractional coordinates of all 4 atoms:
Pb: 0.096 0.096 0.711
Pb: 0.904 0.904 0.289
Tb: 0.000 0.000 0.000
Ga: 0.500 0.500 0.500

---

Entry 4:
This record from Alexandria describes a relaxed ZrInRu3 crystal. The functional is PBE-GGA.

Results
Space-group type: Pm-3m, No. 221
Offset from the most stable computed form, meV per atom: 137
Spin magnetization, μB/cell: 0.00
Volume, Å³/atom: 21.40

Unit cell a=4.747 b=4.747 c=4.747 alpha=90.00 beta=90.00 gamma=90.00
Fractional coordinates of all 5 atoms:
Ru: 0.000 0.500 0.000
Ru: 0.000 0.000 0.500
Ru: 0.500 0.000 0.000
Zr: 0.500 0.500 0.500
In: 0.000 0.000 0.000

---

Entry 5:
This record from Alexandria describes a relaxed PaCo2Si3 crystal. The functional is PBE-GGA.

Results
Space-group type: C2/m, No. 12
Offset from the most stable computed form, meV per atom: 0
Spin magnetization, μB/cell: 0.00
ΔE_f (raw), eV/atom: -0.642
Volume, Å³/atom: 14.35

Unit cell a=3.884 b=7.833 c=9.146 alpha=105.99 beta=90.00 gamma=104.35
Fractional coordinates of all 18 atoms:
Pa: 0.156 0.312 0.708
Pa: 0.844 0.688 0.292
Pa: 0.000 0.000 0.000
Co: 0.199 0.398 0.115
Co: 0.801 0.602 0.885
Co: 0.490 0.980 0.232
Co: 0.510 0.020 0.768
Co: 0.358 0.716 0.550
Co: 0.642 0.284 0.450
Si: 0.047 0.094 0.358
Si: 0.953 0.906 0.642
Si: 0.217 0.433 0.381
Si: 0.783 0.567 0.619
Si: 0.636 0.271 0.197
Si: 0.364 0.729 0.803
Si: 0.500 0.000 0.500
Si: 0.342 0.684 0.051
Si: 0.658 0.316 0.949

---

Entry 6:
This record from Alexandria describes a relaxed LaCd6Ag2 crystal. The functional is PBE-GGA.

Results
Space-group type: P4/mmm, No. 123
Offset from the most stable computed form, meV per atom: 0
Spin magnetization, μB/cell: 0.00
Volume, Å³/atom: 23.60

Unit cell a=4.551 b=4.551 c=10.253 alpha=90.00 beta=90.00 gamma=90.00
Fractional coordinates of all 9 atoms:
La: 0.000 0.000 0.000
Cd: 0.000 0.500 0.291
Cd: 0.500 0.000 0.291
Cd: 0.000 0.500 0.709
Cd: 0.500 0.000 0.709
Cd: 0.500 0.500 0.500
Cd: 0.000 0.000 0.500
Ag: 0.500 0.500 0.129
Ag: 0.500 0.500 0.871

---

Entry 7:
This record from Alexandria describes a relaxed Rb2ZnSb crystal. The functional is PBE-GGA.

Results
Space-group type: Fm-3m, No. 225
Offset from the most stable computed form, meV per atom: 221
Spin magnetization, μB/cell: 1.00
ΔE_f (raw), eV/atom: 0.001
Volume, Å³/atom: 41.58

Unit cell a=6.173 b=6.173 c=6.173 alpha=60.00 beta=60.00 gamma=60.00
Fractional coordinates of all 4 atoms:
Sb: 0.500 0.500 0.500
Zn: 0.000 0.000 0.000
Rb: 0.250 0.250 0.250
Rb: 0.750 0.750 0.750

---

Entry 8:
This record from Alexandria describes a relaxed Li2AgPbI6 crystal. The functional is PBE-GGA.

Results
Space-group type: C2/c, No. 15
Spin magnetization, μB/cell: 0.00
ΔE_f (raw), eV/atom: -0.616
Volume, Å³/atom: 43.81

Unit cell a=6.928 b=11.429 c=11.429 alpha=90.06 beta=79.80 gamma=79.80
Fractional coordinates of all 20 atoms:
Li: 0.278 0.812 0.595
Li: 0.222 0.405 0.188
Li: 0.722 0.188 0.405
Li: 0.778 0.595 0.812
Ag: 0.250 0.198 0.802
Ag: 0.750 0.802 0.198
Pb: 0.250 0.897 0.103
Pb: 0.750 0.103 0.897
I: 0.182 0.946 0.809
I: 0.318 0.191 0.054
I: 0.818 0.054 0.191
I: 0.682 0.809 0.946
I: 0.383 0.868 0.355
I: 0.117 0.645 0.132
I: 0.617 0.132 0.645
I: 0.883 0.355 0.868
I: 0.065 0.627 0.621
I: 0.435 0.379 0.373
I: 0.935 0.373 0.379
I: 0.565 0.621 0.627

---

Entry 9:
This record from Alexandria describes a relaxed Cs4HoTh3Se8 crystal. The functional is PBE-GGA.

Results
Space-group type: R-3m, No. 166
Spin magnetization, μB/cell: 0.00
ΔE_f (raw), eV/atom: -1.565
Volume, Å³/atom: 33.78

Unit cell a=8.569 b=9.837 c=8.569 alpha=115.85 beta=120.00 gamma=90.00
Fractional coordinates of all 16 atoms:
Cs: 0.500 0.000 0.000
Cs: 0.500 0.000 0.500
Cs: 0.000 0.000 0.000
Cs: 0.000 0.000 0.500
Ho: 0.000 0.500 0.000
Th: 0.500 0.500 0.000
Th: 0.500 0.500 0.500
Th: 0.000 0.500 0.500
Se: 0.227 0.691 0.964
Se: 0.227 0.691 0.455
Se: 0.268 0.303 0.535
Se: 0.737 0.691 0.964
Se: 0.263 0.309 0.036
Se: 0.732 0.697 0.465
Se: 0.773 0.309 0.545
Se: 0.773 0.309 0.036

---

Entry 10:
This record from Alexandria describes a relaxed Be2GaSe crystal. The functional is PBE-GGA.

Results
Space-group type: I-42d, No. 122
Offset from the most stable computed form, meV per atom: 0
Spin magnetization, μB/cell: 0.00
ΔE_f (raw), eV/atom: 0.125
Volume, Å³/atom: 17.96

Unit cell a=5.638 b=5.638 c=6.028 alpha=62.12 beta=62.12 gamma=90.00
Fractional coordinates of all 8 atoms:
Be: 0.654 0.125 0.250
Be: 0.096 0.625 0.250
Be: 0.375 0.346 0.750
Be: 0.875 0.904 0.750
Ga: 0.500 0.500 0.000
Ga: 0.250 0.750 0.500
Se: 0.000 0.000 0.000
Se: 0.750 0.250 0.500

---

Entry 11:
This record from Alexandria describes a relaxed B7C3 crystal. The functional is PBE-GGA.

Results
Space-group type: Cm, No. 8
Offset from the most stable computed form, meV per atom: 114
Spin magnetization, μB/cell: 0.00
Volume, Å³/atom: 6.74

Unit cell a=4.365 b=4.365 c=6.563 alpha=100.90 beta=100.90 gamma=33.36
Fractional coordinates of all 10 atoms:
B: 0.011 0.011 0.034
B: 0.212 0.212 0.027
B: 0.185 0.185 0.749
B: 0.378 0.378 0.902
B: 0.389 0.389 0.625
B: 0.793 0.793 0.439
B: 0.836 0.836 0.157
C: 0.582 0.582 0.631
C: 0.595 0.595 0.396
C: 0.019 0.019 0.290

---

Entry 12:
This record from Alexandria describes a relaxed HfScAg crystal. The functional is PBE-GGA.

Results
Space-group type: Cm, No. 8
Offset from the most stable computed form, meV per atom: 71
Spin magnetization, μB/cell: 0.00
Volume, Å³/atom: 21.06

Unit cell a=3.196 b=5.394 c=8.434 alpha=113.35 beta=90.01 gamma=72.76
Fractional coordinates of all 6 atoms:
Sc: 0.103 0.287 0.631
Sc: 0.761 0.972 0.275
Hf: 0.765 0.963 0.829
Hf: 0.416 0.662 0.492
Ag: 0.443 0.607 0.962
Ag: 0.079 0.334 0.151

---

- What is the spin magnetization in the seventh record?
  1.00 μB/cell

---

Copy entry 9 word for word.
This record from Alexandria describes a relaxed Cs4HoTh3Se8 crystal. The functional is PBE-GGA.

Results
Space-group type: R-3m, No. 166
Spin magnetization, μB/cell: 0.00
ΔE_f (raw), eV/atom: -1.565
Volume, Å³/atom: 33.78

Unit cell a=8.569 b=9.837 c=8.569 alpha=115.85 beta=120.00 gamma=90.00
Fractional coordinates of all 16 atoms:
Cs: 0.500 0.000 0.000
Cs: 0.500 0.000 0.500
Cs: 0.000 0.000 0.000
Cs: 0.000 0.000 0.500
Ho: 0.000 0.500 0.000
Th: 0.500 0.500 0.000
Th: 0.500 0.500 0.500
Th: 0.000 0.500 0.500
Se: 0.227 0.691 0.964
Se: 0.227 0.691 0.455
Se: 0.268 0.303 0.535
Se: 0.737 0.691 0.964
Se: 0.263 0.309 0.036
Se: 0.732 0.697 0.465
Se: 0.773 0.309 0.545
Se: 0.773 0.309 0.036

---

- Look up the volume of the first one.
  34.33 Å³/atom